Computed, not measured: a relaxed EuSiPt2 crystal at the GGA-PBEsol level of DFT.

## Properties
As for the total energy: -8.5126 eV per atom. The crystal system is orthorhombic. Its space-group type is Cmcm (63). The formation energy without anion corrections is -953 meV/atom. Its size of the total moment is 6.71 μB per formula unit. The value obtained for the density of states at the Fermi level is 2.682 states/eV/atom.

Lattice parameters (Å, degrees): 3.9318 5.5178 7.0013 90.00 90.00 110.87
With the nearest neighbours (Å) after each atom.
Positions (direct):
Eu 0.0550 0.1100 0.2500  3 Si 2.91-2.98, 8 Pt 3.05-3.20
Pt 0.6504 0.3007 0.9471  3 Si 2.47-2.53, 1 Pt 2.76
Eu 0.9450 0.8900 0.7500  3 Si 2.91-2.98, 8 Pt 3.05-3.20
Pt 0.6504 0.3007 0.5529  3 Si 2.47-2.53, 1 Pt 2.76
Si 0.7724 0.5449 0.2500  6 Pt 2.47-2.53
Pt 0.3496 0.6993 0.4471  3 Si 2.47-2.53, 1 Pt 2.76
Pt 0.3496 0.6993 0.0529  3 Si 2.47-2.53, 1 Pt 2.76
Si 0.2276 0.4551 0.7500  6 Pt 2.47-2.53



Computed, not measured: a relaxed K2LiGdCl6 crystal at the GGA-PBEsol level of DFT.

## Properties
As for the total energy: -5.1254 eV per atom. The crystal system is cubic. Its space-group type is Fm-3m (225). The formation energy without anion corrections is -2052 meV/atom. Its size of the total moment is 7.04 μB per formula unit. The value obtained for the density of states at the Fermi level is 0.000 states/eV/atom.

Lattice parameters (Å, degrees): 7.2338 7.2338 7.2338 60.00 60.00 60.00
With the nearest neighbours (Å) after each atom.
Positions (direct):
Cl 0.2440 0.7560 0.7560  1 Li 2.50, 1 Gd 2.62
K 0.2500 0.2500 0.2500  12 Cl 3.62
Li 0.0000 0.0000 0.0000  6 Cl 2.50
Cl 0.7560 0.7560 0.2440  1 Li 2.50, 1 Gd 2.62
Cl 0.2440 0.7560 0.2440  1 Li 2.50, 1 Gd 2.62
Cl 0.7560 0.2440 0.7560  1 Li 2.50, 1 Gd 2.62
Gd 0.5000 0.5000 0.5000  6 Cl 2.62
K 0.7500 0.7500 0.7500  12 Cl 3.62
Cl 0.2440 0.2440 0.7560  1 Li 2.50, 1 Gd 2.62
Cl 0.7560 0.2440 0.2440  1 Li 2.50, 1 Gd 2.62



Computed, not measured: a relaxed ZnCu4Sn2Se8 crystal at the GGA-PBEsol level of DFT.

## Properties
As for the total energy: -4.1537 eV per atom. The crystal system is monoclinic. Its space-group type is C2 (5). The formation energy without anion corrections is -271 meV/atom. Its size of the total moment is 0.00 μB per formula unit. The value obtained for the density of states at the Fermi level is 0.640 states/eV/atom.

Lattice parameters (Å, degrees): 5.5273 6.8259 10.3805 76.95 74.56 66.12
With the nearest neighbours (Å) after each atom.
Positions (direct):
Sn 0.4997 0.7623 0.2369  4 Se 2.55-2.62
Cu 0.2627 0.3737 0.1163  4 Se 2.36-2.40
Se 0.9052 0.9166 0.8325  2 Cu 2.34-2.36, 1 Sn 2.56
Cu 0.7527 0.6263 0.8837  4 Se 2.36-2.40
Cu 0.2321 0.8750 0.6333  4 Se 2.34-2.38
Sn 0.4988 0.2377 0.7631  4 Se 2.55-2.62
Se 0.3424 0.7000 0.0449  2 Cu 2.36-2.37, 1 Sn 2.55
Cu 0.7403 0.1250 0.3667  4 Se 2.34-2.38
Se 0.3764 0.1734 0.5534  2 Cu 2.36-2.38, 1 Zn 2.44, 1 Sn 2.62
Se 0.6226 0.5822 0.6921  2 Cu 2.38-2.40, 1 Zn 2.44, 1 Sn 2.61
Zn 0.9973 0.5000 0.5000  4 Se 2.44
Se 0.8969 0.4178 0.3079  2 Cu 2.38-2.40, 1 Zn 2.44, 1 Sn 2.61
Se 0.0872 0.3000 0.9551  2 Cu 2.36-2.37, 1 Sn 2.55
Se 0.1033 0.8266 0.4466  2 Cu 2.36-2.38, 1 Zn 2.44, 1 Sn 2.62
Se 0.6543 0.0834 0.1675  2 Cu 2.34-2.36, 1 Sn 2.56



Computed, not measured: a relaxed LiHg2Au crystal at the GGA-PBEsol level of DFT.

## Properties
As for the total energy: -1.9843 eV per atom. The crystal system is monoclinic. Its formation energy is -0.228 eV/atom. Its space-group type is C2/m (12). Its size of the total moment is 0.00 μB per formula unit. The value obtained for the density of states at the Fermi level is 0.276 states/eV/atom.

Lattice parameters (Å, degrees): 3.4389 4.9139 4.9582 103.67 90.00 110.48
With the nearest neighbours (Å) after each atom.
Positions (direct):
Hg 0.7470 0.4941 0.7450  3 Li 2.87-2.89, 3 Au 2.87-2.91, 4 Hg 2.99-3.05
Au 0.5000 0.0000 0.0000  6 Hg 2.87-2.91, 4 Li 3.02
Li 0.0000 0.0000 0.5000  6 Hg 2.87-2.89, 4 Au 3.02
Hg 0.2530 0.5059 0.2550  3 Li 2.87-2.89, 3 Au 2.87-2.91, 4 Hg 2.99-3.05



Computed, not measured: a relaxed NbPRu3 crystal at the GGA-PBEsol level of DFT.

## Properties
As for the total energy: -7.4099 eV per atom. The crystal system is cubic. Its formation energy is 2.016 eV/atom. Its space-group type is Pm-3m (221). Its size of the total moment is 0.01 μB per formula unit. The value obtained for the density of states at the Fermi level is 1.723 states/eV/atom.

Lattice parameters (Å, degrees): 4.6181 4.6181 4.6181 90.00 90.00 90.00
With the nearest neighbours (Å) after each atom.
Positions (direct):
Ru 0.0000 0.5000 0.0000  2 Nb 2.31
P 0.5000 0.5000 0.5000  12 Ru 3.27
Ru 0.5000 0.0000 0.0000  2 Nb 2.31
Nb 0.0000 0.0000 0.0000  6 Ru 2.31
Ru 0.0000 0.0000 0.5000  2 Nb 2.31



Computed, not measured: a relaxed Sr2RuPtO6 crystal at the GGA-PBEsol level of DFT.

## Properties
As for the total energy: -6.8938 eV per atom. The crystal system is monoclinic. Its space-group type is C2/m (12). The formation energy without anion corrections is -1663 meV/atom. Its size of the total moment is 2.01 μB per formula unit. The value obtained for the density of states at the Fermi level is 0.214 states/eV/atom.

Lattice parameters (Å, degrees): 5.4869 5.5394 5.5960 61.44 60.64 60.31
With the nearest neighbours (Å) after each atom.
Positions (direct):
Sr 0.7499 0.2563 0.2439  5 O 2.40-2.52
O 0.7999 0.7081 0.1917  1 Ru 1.98, 1 Pt 2.05
O 0.2001 0.2919 0.8083  1 Ru 1.98, 1 Pt 2.05
Sr 0.2501 0.7437 0.7561  5 O 2.40-2.52
O 0.6998 0.2919 0.8083  1 Ru 1.98, 1 Pt 2.05
O 0.3002 0.7081 0.1917  1 Ru 1.98, 1 Pt 2.05
Ru 0.5000 0.0000 0.0000  6 O 1.98-1.99
O 0.2545 0.1608 0.3302  1 Ru 1.99, 1 Pt 2.05
O 0.7455 0.8392 0.6698  1 Ru 1.99, 1 Pt 2.05
Pt 0.0000 0.5000 0.5000  6 O 2.05